GGA-PBE K3Rb7Li, optimized geometry; density = 1.321 g/cm³; total moment = 0.00 μB/f.u.; DOS at the Fermi energy = 7.9 states/eV/cell; formation enthalpy at 0 K = 0.0692 eV/atom
1.0
-3.8007 7.2669 -6.7900
-10.5044 -1.7298 0.1466
-3.8926 6.5698 4.7590
Li Rb K
1 7 3
Direct
0.9654 0.9654 0.9769
0.1475 0.1475 0.1943
0.6116 0.2153 0.1463
0.0110 0.3644 0.7128
0.2153 0.6116 0.1463
0.3644 0.0110 0.7128
0.7659 0.7659 0.4327
0.6883 0.6883 0.0183
0.4624 0.4624 0.6443
0.7774 0.1158 0.6327
0.1158 0.7774 0.6327